# 1
Entry from Alexandria via LeMat-Bulk: TiSbPtCl2 after structural relaxation (PBE).

The structure in POSCAR format:
```
TiSbPtCl2
1.0
-3.9823 -0.1766 2.1621
-2.4118 -1.6414 -4.5762
0.8029 -4.3188 1.1260
Sb Cl Pt Ti
1 2 1 1
direct
0.5000 0.5000 0.5000 Sb
0.0000 0.0000 0.5000 Cl
0.5000 0.0000 0.0000 Cl
0.0000 0.5000 0.0000 Pt
0.0000 0.0000 0.0000 Ti
```

V	112	Å³ per cell
mass density	6.5	g cm⁻³
DFT total energy	-23.25	eV/cell

***

# 2
Entry from Alexandria via LeMat-Bulk: ScPtCl2 after structural relaxation (PBE).

The structure in POSCAR format:
```
ScPtCl2
1.0
-4.5469 -1.2035 -0.3838
-1.3989 -2.8548 -3.4876
-1.3623 -4.4136 0.9665
Sc Pt Cl
1 1 2
direct
0.7500 0.7500 0.7500 Sc
0.5000 0.5000 0.5000 Pt
0.0000 0.0000 0.0000 Cl
0.2500 0.2500 0.2500 Cl
```

V	74	Å³ per cell
relative energy among the computed polymorphs	0.478	eV/atom
mass density	6.9	g cm⁻³
DFT total energy	-18.31	eV/cell